## Sm8Sn2Au (GGA-PBE)

Data for an optimized crystal structure of Sm8Sn2Au.

Cell: 19.7161 5.1186 6.8881 Å, 90.00 104.53 90.00°
Closest atoms and distances in Å follow each position.
Space group C2/m (No. 12)
Unique sites:
Sm: 0.0181 0.0000 0.2778 [4 per cell]  2 Au 3.05, 1 Sn 3.26, 1 Sm 3.31
Sm: 0.0933 0.5000 0.9747 [4 per cell]  1 Au 3.33, 2 Sn 3.41, 4 Sm 3.51-3.67
Sm: 0.1525 0.5000 0.4992 [4 per cell]  1 Au 3.01, 3 Sn 3.19-3.29
Sm: 0.2161 0.0000 0.8211 [4 per cell]  3 Sn 3.24-3.39, 4 Sm 3.41-3.57
Sn: 0.1811 0.0000 0.2558 [4 per cell]  9 Sm 3.19-3.41
Au: 0.0000 0.5000 0.5000 [2 per cell]  8 Sm 3.01-3.33

Computed properties:
For the formation energy, the calculation gives -0.42 eV/atom.

## MnFeCl2 (GGA-PBE)

Data for an optimized crystal structure of MnFeCl2.

Cell: 3.4921 5.2540 8.6552 Å, 90.00 90.00 90.00°
Closest atoms and distances in Å follow each position.
Space group Cmm2 (No. 35)
Unique sites:
Mn: 0.0000 0.0000 0.0000 [2 per cell]  2 Cl 2.37, 2 Fe 2.64
Fe: 0.0000 0.5000 0.2288 [2 per cell]  2 Cl 2.32
Cl: 0.0000 0.0000 0.4046 [2 per cell]  2 Fe 2.32
Cl: 0.0000 0.5000 0.8154 [2 per cell]  2 Mn 2.37

Computed properties:
The excess energy over the best structure of this formula in the dataset comes out at 156.3 meV per atom. The value obtained for the formation energy from raw total energies is -0.20 eV/atom.

## AlAsC2I (GGA-PBE)

Data for an optimized crystal structure of AlAsC2I.

Cell: 4.1886 4.1886 5.4679 Å, 90.00 90.00 90.00°
Closest atoms and distances in Å follow each position.
Space group P4/mmm (No. 123)
Unique sites:
Al: 0.0000 0.0000 0.0000 [1 per cell]  2 I 2.73, 4 As 2.96
As: 0.5000 0.5000 0.0000 [1 per cell]  4 Al 2.96
C: 0.0000 0.5000 0.5000 [2 per cell]  2 I 2.09
I: 0.0000 0.0000 0.5000 [1 per cell]  4 C 2.09

Computed properties:
The value obtained for the formation energy from raw total energies is 2.64 eV/atom.

## La4S6Br (GGA-PBE)

Data for an optimized crystal structure of La4S6Br.

Cell: 8.7934 8.7934 4.1131 Å, 90.00 90.00 120.00°
Closest atoms and distances in Å follow each position.
Space group P-6m2 (No. 187)
Unique sites:
La: 0.0000 0.0000 0.0000 [1 per cell]  9 S 2.95-3.20
La: 0.0185 0.5092 0.5000 [3 per cell]  6 S 2.83-3.00
S: 0.2102 0.4204 0.0000 [3 per cell]  5 La 3.00-3.20, 2 S 3.25
S: 0.2777 0.1389 0.5000 [3 per cell]  4 La 2.83-2.95
Br: 0.6667 0.3333 0.0000 [1 per cell]  6 La 3.38, 6 S 3.61

Computed properties:
The value obtained for the formation energy from raw total energies is -1.93 eV/atom.

no.,spin magnetization (μB per formula unit),density of states at the Fermi level (states/eV/f.u.)
1,0.000,10.2
2,7.306,1.8
3,0.301,4.1
4,0.000,6.7